Material: HfH2Br
Method: DFT, PBE
State: relaxed

abc: 4.0985 4.0985 4.0985
angles: 60.00 60.00 60.00
Fractional coordinates of all 4 atoms:
Hf 0.5000 0.5000 0.5000
H 0.2500 0.2500 0.2500
H 0.7500 0.7500 0.7500
Br 0.0000 0.0000 0.0000

Calculated values
**Crystal system**: cubic
**Space-group type**: Fm-3m (225)
**Relative energy among the computed polymorphs**: 61.3 kJ per mole of atoms
**Calculated volume**: 12.2 Å³ per atom
**Energy**: -16.465 eV per cell